1.
DFT (SCAN) results for CrMoBr2 at its PBEsol-relaxed geometry.

formation energy without anion corrections	3.31	eV/f.u.
DOS at the Fermi energy	1.0	states/eV per cell

```
data_CrMoBr2
_chemical_formula_sum 'Cr1 Mo1 Br2'
_cell_length_a 4.746
_cell_length_b 4.746
_cell_length_c 4.746
_cell_angle_alpha 60.00
_cell_angle_beta 60.00
_cell_angle_gamma 60.00
_space_group_name_H-M_alt 'P 1'
_space_group_IT_number 1
loop_
_space_group_symop_operation_xyz
'x,y,z'
loop_
_atom_site_label
_atom_site_type_symbol
_atom_site_fract_x
_atom_site_fract_y
_atom_site_fract_z
Cr1 Cr 0.000 0.000 0.000
Mo1 Mo 0.250 0.250 0.250
Br1 Br 0.500 0.500 0.500
Br2 Br 0.750 0.750 0.750
```

=====

2.
DFT (SCAN) results for ScMoBr2 at its PBEsol-relaxed geometry.

formation energy without anion corrections	-1.02	eV/f.u.
DOS at the Fermi energy	2.2	states/eV per cell

```
data_ScMoBr2
_chemical_formula_sum 'Sc1 Mo1 Br2'
_cell_length_a 3.464
_cell_length_b 3.464
_cell_length_c 7.065
_cell_angle_alpha 90.00
_cell_angle_beta 90.00
_cell_angle_gamma 90.00
_space_group_name_H-M_alt 'P 1'
_space_group_IT_number 1
loop_
_space_group_symop_operation_xyz
'x,y,z'
loop_
_atom_site_label
_atom_site_type_symbol
_atom_site_fract_x
_atom_site_fract_y
_atom_site_fract_z
Sc1 Sc 0.000 0.000 0.000
Mo1 Mo 0.500 0.500 0.809
Br1 Br 0.000 0.000 0.596
Br2 Br 0.500 0.500 0.190
```

=====

Number 1: energy relative to the lowest polymorph listed for this composition 642 meV per atom. Number 2: energy relative to the lowest polymorph listed for this composition 170 meV per atom.